# Cu2Br | the Alexandria database | PBE | optimized geometry
# ΔE to the lowest computed polymorph = 375 meV per atom
# Calculated density = 6.60 g/cm3
# D(E_F) = 0.270 states/eV per atom
# E_form (uncorrected) = 1.1 eV per formula unit
data_Cu2Br
_cell_length_a 5.152
_cell_length_b 5.152
_cell_length_c 5.152
_cell_angle_alpha 141.74
_cell_angle_beta 141.74
_cell_angle_gamma 55.21
_symmetry_space_group_name_H-M 'P 1'
_symmetry_Int_Tables_number 1
loop_
_symmetry_equiv_pos_as_xyz
'x,y,z'
loop_
_atom_site_label
_atom_site_fract_x
_atom_site_fract_y
_atom_site_fract_z
Cu1 0.296 0.296 0.000
Cu2 0.704 0.704 0.000
Br1 0.000 0.000 0.000

# SrCd2Hg7 | the Alexandria database | PBE | optimized geometry
# ΔE to the lowest computed polymorph = 24 meV per atom
# Calculated density = 9.03 g/cm3
# D(E_F) = 0.395 states/eV per atom
data_SrCd2Hg7
_cell_length_a 3.683
_cell_length_b 10.072
_cell_length_c 10.072
_cell_angle_alpha 122.30
_cell_angle_beta 90.00
_cell_angle_gamma 90.00
_symmetry_space_group_name_H-M 'P 1'
_symmetry_Int_Tables_number 1
loop_
_symmetry_equiv_pos_as_xyz
'x,y,z'
loop_
_atom_site_label
_atom_site_fract_x
_atom_site_fract_y
_atom_site_fract_z
Sr1 0.000 0.000 0.000
Hg1 0.500 0.120 0.326
Hg2 0.000 0.196 0.805
Hg3 0.500 0.880 0.674
Hg4 0.000 0.804 0.195
Hg5 0.500 0.674 0.880
Hg6 0.500 0.326 0.120
Hg7 0.500 0.500 0.500
Cd1 0.500 0.329 0.671
Cd2 0.500 0.671 0.329